DFT (meta-GGA SCAN) results for Ba4Ti3O10 at its PBEsol-relaxed geometry.

Output
ΔE_f (raw) in eV per atom: -3.3348
SG: Fmm2
DFT total energy in eV/cell: -325.29
Energy above the most stable polymorph in this dataset in kJ/mol of atoms: 0.0
Total magnetic moment in μB/cell: 0.0

a = 4.0174 Å, b = 4.0174 Å, c = 14.8347 Å
α = 97.76°, β = 97.76°, γ = 90.14°
Closest atoms and distances in Å follow each position.
Positions (direct):
Ba (0.8024, 0.7945, 0.5969)  9 O 2.73-2.91
Ti (0.5184, 0.4816, 0.0000)  4 O 1.88-1.99
Ti (0.6532, 0.6217, 0.2749)  6 O 1.90-2.12
O (0.8517, 0.3671, 0.7262)  2 Ti 1.90-2.12
O (0.2892, 0.3029, 0.5921)  1 Ti 1.94
O (0.1255, 0.6409, 0.2738)  2 Ti 1.90-2.12
O (0.3591, 0.8745, 0.7262)  2 Ti 1.90-2.12
Ba (0.9380, 0.9266, 0.8646)  12 O 2.77-2.92
O (0.6329, 0.1483, 0.2738)  2 Ti 1.90-2.12
Ti (0.3783, 0.3468, 0.7251)  6 O 1.90-2.12
O (0.5605, 0.5757, 0.1362)  2 Ti 1.99-2.02
O (0.6971, 0.7108, 0.4079)  1 Ti 1.94
O (0.4243, 0.4395, 0.8638)  2 Ti 1.99-2.02
O (0.9858, 0.5057, 0.0000)  1 Ti 1.88
Ba (0.0734, 0.0620, 0.1354)  12 O 2.77-2.92
Ba (0.2055, 0.1976, 0.4031)  9 O 2.73-2.91
O (0.4943, 0.0142, 0.0000)  1 Ti 1.88



DFT (meta-GGA SCAN) results for BaTiO3 at its PBEsol-relaxed geometry.

Output
ΔE_f (raw) in eV per atom: -3.3892
SG: C222_1
DFT total energy in eV/cell: -547.32
Total magnetic moment in μB/cell: 0.0

a = 5.7155 Å, b = 5.7155 Å, c = 13.9420 Å
α = 90.00°, β = 90.00°, γ = 119.75°
Closest atoms and distances in Å follow each position.
Positions (direct):
Ba (0.3211, 0.6530, 0.0965)  12 O 2.79-3.02
O (0.4818, 0.9693, 0.7476)  2 Ti 1.91-2.11
O (0.8341, 0.6694, 0.0810)  2 Ti 1.90-2.05
O (0.1659, 0.3306, 0.5810)  2 Ti 1.90-2.05
O (0.3306, 0.1659, 0.4190)  2 Ti 1.90-2.05
O (0.5189, 0.4811, 0.2500)  2 Ti 2.00
O (0.5182, 0.0307, 0.2476)  2 Ti 1.91-2.11
O (0.9693, 0.4818, 0.2524)  2 Ti 1.91-2.11
Ti (0.6471, 0.3110, 0.1539)  5 O 1.87-2.05
Ba (0.3470, 0.6789, 0.4035)  12 O 2.79-3.02
O (0.1656, 0.8361, 0.5804)  2 Ti 1.95-1.98
Ba (0.6789, 0.3470, 0.5965)  12 O 2.79-3.02
O (0.8361, 0.6687, 0.4194)  2 Ti 1.87-2.09
Ti (0.6890, 0.3529, 0.3461)  5 O 1.87-2.05
O (0.1639, 0.8344, 0.9196)  2 Ti 1.95-1.98
O (0.6687, 0.8361, 0.5806)  2 Ti 1.87-2.09
Ti (0.0238, 0.0238, 0.5000)  6 O 1.90-2.09
O (0.8344, 0.1639, 0.0804)  2 Ti 1.95-1.98
Ti (0.9762, 0.9762, 0.0000)  6 O 1.90-2.09
O (0.1639, 0.3313, 0.9194)  2 Ti 1.87-2.09
O (0.8361, 0.1656, 0.4196)  2 Ti 1.95-1.98
O (0.4811, 0.5189, 0.7500)  2 Ti 2.00
O (0.3313, 0.1639, 0.0806)  2 Ti 1.87-2.09
Ba (0.6530, 0.3211, 0.9035)  12 O 2.79-3.02
Ba (0.0006, 0.9994, 0.2500)  12 O 2.85-2.88
Ti (0.3529, 0.6890, 0.6539)  5 O 1.87-2.05
Ti (0.3110, 0.6471, 0.8461)  5 O 1.87-2.05
Ba (0.9994, 0.0006, 0.7500)  12 O 2.85-2.88
O (0.0307, 0.5182, 0.7524)  2 Ti 1.91-2.11
O (0.6694, 0.8341, 0.9190)  2 Ti 1.90-2.05



DFT (meta-GGA SCAN) results for BaTiO2 at its PBEsol-relaxed geometry.

Output
ΔE_f (raw) in eV per atom: -2.4545
SG: I-42d
DFT total energy in eV/cell: -155.72
Total magnetic moment in μB/cell: 0.0

a = 5.0573 Å, b = 5.0573 Å, c = 6.5291 Å
α = 112.79°, β = 112.79°, γ = 90.00°
Closest atoms and distances in Å follow each position.
Positions (direct):
O (0.1250, 0.2865, 0.7500)  2 Ti 1.91
O (0.5365, 0.8750, 0.2500)  2 Ti 1.91
Ba (0.2500, 0.7500, 0.5000)  4 O 2.79
Ti (0.7500, 0.2500, 0.5000)  4 O 1.91
O (0.6250, 0.4635, 0.7500)  2 Ti 1.91
O (0.7135, 0.3750, 0.2500)  2 Ti 1.91
Ba (0.0000, 0.0000, 0.0000)  4 O 2.79
Ti (0.5000, 0.5000, 0.0000)  4 O 1.91